DFT (PBE-GGA) results for a relaxed TcBiIO2 crystal.

Calculated values
Energy above the lowest structure with this stoichiometry ... 0.458 eV per atom
Total DFT energy (no corrections) ... -4.72 eV per atom
Uncorrected formation energy ... 418 meV/atom
Calculated volume ... 24.71 Å³ per atom

Structure (CIF):
```
data_TcBiIO2
_cell_length_a 4.254
_cell_length_b 4.254
_cell_length_c 6.827
_cell_angle_alpha 90.00
_cell_angle_beta 90.00
_cell_angle_gamma 90.00
_symmetry_space_group_name_H-M 'P 4/m m m'
_symmetry_Int_Tables_number 123
_symmetry_space_group_name_Hall '-P 4 2'
loop_
_atom_site_label
_atom_site_type_symbol
_atom_site_fract_x
_atom_site_fract_y
_atom_site_fract_z
_atom_site_occupancy
Tc1 Tc 0.000 0.000 0.000 1
Bi1 Bi 0.500 0.500 0.500 1
I1 I 0.500 0.500 0.000 1
O1 O 0.000 0.500 0.500 1
```

---

DFT (PBE-GGA) results for a relaxed Eu3PtO crystal.

Calculated values
Total DFT energy (no corrections) ... -9.79 eV per atom
Uncorrected formation energy ... -1423 meV/atom
Calculated volume ... 23.50 Å³ per atom

Structure (CIF):
```
data_Eu3PtO
_cell_length_a 4.898
_cell_length_b 4.898
_cell_length_c 4.898
_cell_angle_alpha 90.00
_cell_angle_beta 90.00
_cell_angle_gamma 90.00
_symmetry_space_group_name_H-M 'P m -3 m'
_symmetry_Int_Tables_number 221
_symmetry_space_group_name_Hall '-P 4 2 3'
loop_
_atom_site_label
_atom_site_type_symbol
_atom_site_fract_x
_atom_site_fract_y
_atom_site_fract_z
_atom_site_occupancy
Eu1 Eu 0.000 0.000 0.500 1
Pt1 Pt 0.500 0.500 0.500 1
O1 O 0.000 0.000 0.000 1
```

---

DFT (PBE-GGA) results for a relaxed CsAs3Pb crystal.

Calculated values
Energy above the lowest structure with this stoichiometry ... 0.921 eV per atom
Total DFT energy (no corrections) ... -2.25 eV per atom
ΔH_f (0 K) ... 7.2 eV/f.u.
Calculated volume ... 37.29 Å³ per atom

Structure (CIF):
```
data_CsAs3Pb
_cell_length_a 5.713
_cell_length_b 5.713
_cell_length_c 5.713
_cell_angle_alpha 90.00
_cell_angle_beta 90.00
_cell_angle_gamma 90.00
_symmetry_space_group_name_H-M 'P m -3 m'
_symmetry_Int_Tables_number 221
_symmetry_space_group_name_Hall '-P 4 2 3'
loop_
_atom_site_label
_atom_site_type_symbol
_atom_site_fract_x
_atom_site_fract_y
_atom_site_fract_z
_atom_site_occupancy
Cs1 Cs 0.000 0.000 0.000 1
As1 As 0.000 0.000 0.500 1
Pb1 Pb 0.500 0.500 0.500 1
```

---

DFT (PBE-GGA) results for a relaxed BaTeHN2 crystal.

Calculated values
Energy above the lowest structure with this stoichiometry ... 0.000 eV per atom
Total DFT energy (no corrections) ... -3.88 eV per atom
Calculated volume ... 16.66 Å³ per atom

Structure (CIF):
```
data_BaTeHN2
_cell_length_a 4.738
_cell_length_b 4.738
_cell_length_c 3.710
_cell_angle_alpha 90.00
_cell_angle_beta 90.00
_cell_angle_gamma 90.00
_symmetry_space_group_name_H-M 'P 4/m m m'
_symmetry_Int_Tables_number 123
_symmetry_space_group_name_Hall '-P 4 2'
loop_
_atom_site_label
_atom_site_type_symbol
_atom_site_fract_x
_atom_site_fract_y
_atom_site_fract_z
_atom_site_occupancy
Ba1 Ba 0.000 0.000 0.000 1
Te1 Te 0.500 0.500 0.000 1
H1 H 0.500 0.500 0.500 1
N1 N 0.000 0.500 0.500 1
```